Entry 1:
## HfSc2Pd2 (PBE)

Data for an optimized crystal structure of HfSc2Pd2.

For the size of the total moment, the calculation gives 0.577 μB/f.u. Its energy relative to the lowest polymorph listed for this composition is 158 meV/atom.

```
HfSc2Pd2
1.0
8.055 0.000 0.000
0.000 8.055 0.000
0.000 0.000 2.938
Hf Sc Pd
2 4 4
direct
0.000 0.000 0.000
0.500 0.500 0.000
0.141 0.359 0.000
0.359 0.859 0.000
0.641 0.141 0.000
0.859 0.641 0.000
0.159 0.659 0.500
0.341 0.159 0.500
0.659 0.841 0.500
0.841 0.341 0.500
```

Entry 2:
## Hf2ScPd2 (PBE)

Data for an optimized crystal structure of Hf2ScPd2.

For the size of the total moment, the calculation gives 0.000 μB/f.u. Its energy relative to the lowest polymorph listed for this composition is 0 meV/atom.

```
Hf2ScPd2
1.0
7.700 0.000 0.000
0.000 7.700 0.000
0.000 0.000 3.311
Hf Sc Pd
4 2 4
direct
0.168 0.332 0.000
0.332 0.832 0.000
0.668 0.168 0.000
0.832 0.668 0.000
0.000 0.000 0.500
0.500 0.500 0.500
0.129 0.629 0.500
0.371 0.129 0.500
0.629 0.871 0.500
0.871 0.371 0.500
```

Entry 3:
## HfScPd (PBE)

Data for an optimized crystal structure of HfScPd.

For the size of the total moment, the calculation gives 0.000 μB/f.u. Its energy relative to the lowest polymorph listed for this composition is 499 meV/atom.

```
HfScPd
1.0
6.108 0.000 0.000
0.000 6.108 0.000
0.000 0.000 7.996
Hf Sc Pd
4 4 4
direct
0.201 0.201 0.000
0.299 0.701 0.250
0.701 0.299 0.750
0.799 0.799 0.500
0.204 0.204 0.500
0.296 0.704 0.750
0.704 0.296 0.250
0.796 0.796 0.000
0.002 0.998 0.250
0.498 0.498 0.000
0.502 0.502 0.500
0.998 0.002 0.750
```

Entry 4:
## HfSc3Pd12 (PBE)

Data for an optimized crystal structure of HfSc3Pd12.

For the size of the total moment, the calculation gives 0.000 μB/f.u.

```
HfSc3Pd12
1.0
4.015 0.000 0.000
0.000 4.015 0.000
0.000 0.000 15.997
Hf Sc Pd
1 3 12
direct
0.000 0.000 0.000
0.000 0.000 0.251
0.000 0.000 0.500
0.000 0.000 0.749
0.000 0.500 0.124
0.000 0.500 0.375
0.000 0.500 0.625
0.000 0.500 0.876
0.500 0.000 0.124
0.500 0.000 0.375
0.500 0.000 0.625
0.500 0.000 0.876
0.500 0.500 0.000
0.500 0.500 0.249
0.500 0.500 0.500
0.500 0.500 0.751
```

Entry 5:
## HfScPd (PBE)

Data for an optimized crystal structure of HfScPd.

For the size of the total moment, the calculation gives 0.000 μB/f.u. Its energy relative to the lowest polymorph listed for this composition is 10 meV/atom.

```
HfScPd
1.0
-1.661 1.661 5.371
1.661 -1.661 5.371
1.661 1.661 -5.371
Hf Sc Pd
1 1 1
direct
0.000 0.000 0.000
0.310 0.310 0.000
0.649 0.649 0.000
```

Entry 6:
## HfSc2Pd (PBE)

Data for an optimized crystal structure of HfSc2Pd.

For the size of the total moment, the calculation gives 0.000 μB/f.u. Its energy relative to the lowest polymorph listed for this composition is 146 meV/atom.

```
HfSc2Pd
1.0
1.621 0.936 9.244
-1.621 0.936 9.244
0.000 -1.871 9.244
Hf Sc Pd
1 2 1
direct
0.000 0.000 0.000
0.243 0.243 0.243
0.425 0.425 0.425
0.834 0.834 0.834
```

Entry 7:
## HfSc3Pd (PBE)

Data for an optimized crystal structure of HfSc3Pd.

For the size of the total moment, the calculation gives 0.870 μB/f.u. Its energy relative to the lowest polymorph listed for this composition is 0 meV/atom.

```
HfSc3Pd
1.0
5.017 0.000 0.000
0.000 5.017 0.000
0.000 0.000 5.017
Hf Sc Pd
1 3 1
direct
0.000 0.000 0.000
0.000 0.500 0.500
0.500 0.000 0.500
0.500 0.500 0.000
0.500 0.500 0.500
```

Entry 8:
## HfScPd6 (PBE)

Data for an optimized crystal structure of HfScPd6.

For the size of the total moment, the calculation gives 0.000 μB/f.u.

```
HfScPd6
1.0
4.008 0.000 0.000
0.000 4.008 0.000
0.000 0.000 8.016
Hf Sc Pd
1 1 6
direct
0.000 0.000 0.000
0.000 0.000 0.500
0.000 0.500 0.248
0.000 0.500 0.752
0.500 0.000 0.248
0.500 0.000 0.752
0.500 0.500 0.000
0.500 0.500 0.500
```

Entry 9:
## HfSc3Pd3 (PBE)

Data for an optimized crystal structure of HfSc3Pd3.

For the size of the total moment, the calculation gives 0.000 μB/f.u.

```
HfSc3Pd3
1.0
4.682 -4.775 0.000
4.682 4.775 0.000
0.000 0.000 6.280
Hf Sc Pd
2 6 6
direct
0.246 0.754 0.000
0.754 0.246 0.000
0.250 0.250 0.500
0.257 0.743 0.500
0.270 0.270 0.000
0.730 0.730 0.000
0.743 0.257 0.500
0.750 0.750 0.500
0.000 0.000 0.241
0.000 0.000 0.759
0.000 0.500 0.247
0.000 0.500 0.753
0.500 0.000 0.247
0.500 0.000 0.753
```

Entry 10:
## HfSc2Pd (PBE)

Data for an optimized crystal structure of HfSc2Pd.

For the size of the total moment, the calculation gives 0.000 μB/f.u. Its energy relative to the lowest polymorph listed for this composition is 322 meV/atom.

```
HfSc2Pd
1.0
-3.870 3.870 2.929
3.870 -3.870 2.929
3.870 3.870 -2.929
Hf Sc Pd
2 4 2
direct
0.000 0.000 0.000
0.750 0.250 0.500
0.175 0.625 0.050
0.375 0.425 0.550
0.575 0.125 0.950
0.875 0.825 0.450
0.250 0.750 0.500
0.500 0.500 0.000
```

Entry 11:
## HfSc3Pd (PBE)

Data for an optimized crystal structure of HfSc3Pd.

For the size of the total moment, the calculation gives 0.000 μB/f.u. Its energy relative to the lowest polymorph listed for this composition is 682 meV/atom.

```
HfSc3Pd
1.0
5.066 0.000 0.000
0.000 5.066 0.000
0.000 0.000 5.066
Hf Sc Pd
1 3 1
direct
0.000 0.000 0.000
0.000 0.000 0.500
0.000 0.500 0.000
0.500 0.000 0.000
0.500 0.500 0.500
```

Entry 12:
## HfSc2Pd (PBE)

Data for an optimized crystal structure of HfSc2Pd.

For the size of the total moment, the calculation gives 0.000 μB/f.u. Its energy relative to the lowest polymorph listed for this composition is 0 meV/atom.

```
HfSc2Pd
1.0
3.300 0.000 0.000
0.000 3.300 0.000
0.000 0.000 7.529
Hf Sc Pd
1 2 1
direct
0.000 0.000 0.000
0.500 0.500 0.281
0.500 0.500 0.719
0.000 0.000 0.500
```

Entry 13:
## Hf2ScPd3 (PBE)

Data for an optimized crystal structure of Hf2ScPd3.

For the size of the total moment, the calculation gives 0.000 μB/f.u. Its energy relative to the lowest polymorph listed for this composition is 0 meV/atom.

```
Hf2ScPd3
1.0
-2.336 3.367 7.025
2.336 -3.367 7.025
2.336 3.367 -7.025
Hf Sc Pd
4 2 6
direct
0.084 0.334 0.750
0.254 0.004 0.250
0.746 0.996 0.750
0.916 0.666 0.250
0.420 0.670 0.750
0.580 0.330 0.250
0.000 0.500 0.500
0.146 0.161 0.985
0.324 0.839 0.485
0.500 0.500 0.000
0.676 0.161 0.515
0.854 0.839 0.015
```

Entry 14:
## Hf3ScPd4 (PBE)

Data for an optimized crystal structure of Hf3ScPd4.

For the size of the total moment, the calculation gives 0.000 μB/f.u. Its energy relative to the lowest polymorph listed for this composition is 0 meV/atom.

```
Hf3ScPd4
1.0
3.415 0.000 0.000
0.000 4.631 0.000
0.000 0.000 9.275
Hf Sc Pd
3 1 4
direct
0.000 0.000 0.000
0.000 0.500 0.252
0.000 0.500 0.748
0.000 0.000 0.500
0.500 0.000 0.243
0.500 0.000 0.757
0.500 0.500 0.000
0.500 0.500 0.500
```

Entry 15:
## HfSc2Pd (PBE)

Data for an optimized crystal structure of HfSc2Pd.

For the size of the total moment, the calculation gives 0.000 μB/f.u. Its energy relative to the lowest polymorph listed for this composition is 397 meV/atom.

```
HfSc2Pd
1.0
1.573 0.908 10.049
-1.573 0.908 10.049
0.000 -1.817 10.049
Hf Sc Pd
1 2 1
direct
0.000 0.000 0.000
0.417 0.417 0.417
0.583 0.583 0.583
0.500 0.500 0.500
```

Entry 16:
## Hf2ScPd4 (PBE)

Data for an optimized crystal structure of Hf2ScPd4.

For the size of the total moment, the calculation gives 0.000 μB/f.u. Its energy relative to the lowest polymorph listed for this composition is 0 meV/atom.

```
Hf2ScPd4
1.0
5.680 0.000 0.000
-1.677 6.843 0.000
-1.729 -3.359 6.414
Hf Sc Pd
4 2 8
direct
0.000 0.000 0.000
0.074 0.471 0.834
0.576 0.479 0.838
0.778 0.823 0.323
0.258 0.661 0.521
0.630 0.234 0.364
0.154 0.233 0.430
0.192 0.064 0.714
0.232 0.814 0.228
0.382 0.424 0.160
0.492 0.900 0.957
0.672 0.065 0.677
0.788 0.663 0.610
0.863 0.386 0.133
```

Entry 17:
## Hf3ScPd4 (PBE)

Data for an optimized crystal structure of Hf3ScPd4.

For the size of the total moment, the calculation gives 0.000 μB/f.u. Its energy relative to the lowest polymorph listed for this composition is 439 meV/atom.

```
Hf3ScPd4
1.0
-2.573 4.615 3.559
2.573 -4.615 3.559
2.573 4.615 -3.559
Hf Sc Pd
3 1 4
direct
0.000 0.000 0.000
0.443 0.705 0.738
0.967 0.705 0.262
0.656 0.156 0.500
0.075 0.344 0.731
0.333 0.088 0.754
0.333 0.579 0.246
0.613 0.344 0.269
```

Entry 18:
## HfScPd (PBE)

Data for an optimized crystal structure of HfScPd.

For the size of the total moment, the calculation gives 0.000 μB/f.u. Its energy relative to the lowest polymorph listed for this composition is 173 meV/atom.

```
HfScPd
1.0
4.598 0.000 0.000
-2.299 3.982 0.000
0.000 0.000 3.253
Hf Sc Pd
1 1 1
direct
0.000 0.000 0.000
0.333 0.667 0.444
0.667 0.333 0.743
```

Entry 19:
## Hf2ScPd2 (PBE)

Data for an optimized crystal structure of Hf2ScPd2.

For the size of the total moment, the calculation gives 0.669 μB/f.u. Its energy relative to the lowest polymorph listed for this composition is 149 meV/atom.

```
Hf2ScPd2
1.0
7.871 0.000 0.000
0.000 7.871 0.000
0.000 0.000 3.156
Hf Sc Pd
4 2 4
direct
0.154 0.346 0.000
0.346 0.846 0.000
0.654 0.154 0.000
0.846 0.654 0.000
0.000 0.000 0.000
0.500 0.500 0.000
0.143 0.643 0.500
0.357 0.143 0.500
0.643 0.857 0.500
0.857 0.357 0.500
```

Entry 20:
## HfScPd (PBE)

Data for an optimized crystal structure of HfScPd.

For the size of the total moment, the calculation gives 0.000 μB/f.u. Its energy relative to the lowest polymorph listed for this composition is 42 meV/atom.

```
HfScPd
1.0
5.242 -2.302 0.000
5.242 2.302 0.000
-3.367 0.000 4.967
Hf Sc Pd
2 2 2
direct
0.000 0.000 0.000
0.719 0.719 0.059
0.097 0.097 0.608
0.381 0.381 0.555
0.387 0.387 0.109
0.715 0.715 0.507
```

So what do the calculations give for energy relative to the elements? Going down the list: -0.44 -0.56 0.00 -0.86 -0.49 -0.27 0.18 -0.88 -0.58 -0.09 0.86 -0.42 -0.71 -0.69 -0.02 -0.72 -0.25 -0.33 -0.41 -0.46 eV/atom.